! BaNa3O8 (PBE, relaxed); values from VASP
&SYSTEM
  ibrav = 0, nat = 12, ntyp = 3
/
ATOMIC_SPECIES
Ba 137.33 Ba.upf
Na 22.99 Na.upf
O 16.00 O.upf
ATOMIC_POSITIONS crystal
Ba 0.0000 0.0000 0.0000
Na 0.2500 0.7500 0.5000
Na 0.5000 0.5000 0.0000
Na 0.7500 0.2500 0.5000
O 0.0890 0.0890 0.5160
O 0.0890 0.5729 0.0000
O 0.4271 0.4271 0.5160
O 0.4271 0.9110 0.0000
O 0.5729 0.0890 0.0000
O 0.5729 0.5729 0.4840
O 0.9110 0.4271 0.0000
O 0.9110 0.9110 0.4840
CELL_PARAMETERS angstrom
-3.2461 3.2461 4.2699
3.2461 -3.2461 4.2699
3.2461 3.2461 -4.2699
! E_form (uncorrected): -12.4 eV per formula unit

! NaLiTlAs (PBE, relaxed); values from VASP
&SYSTEM
  ibrav = 0, nat = 4, ntyp = 4
/
ATOMIC_SPECIES
Na 22.99 Na.upf
Li 6.94 Li.upf
Tl 204.38 Tl.upf
As 74.92 As.upf
ATOMIC_POSITIONS crystal
Na 0.0000 0.0000 0.0000
Li 0.5000 0.5000 0.5000
Tl 0.2500 0.2500 0.2500
As 0.7500 0.7500 0.7500
CELL_PARAMETERS angstrom
0.0000 3.5216 3.5216
3.5216 0.0000 3.5216
3.5216 3.5216 0.0000
! energy of formation from the pure elements: -0.31 eV/atom

! HfTi7Sn3 (PBE, relaxed); values from VASP
&SYSTEM
  ibrav = 0, nat = 11, ntyp = 3
/
ATOMIC_SPECIES
Hf 178.49 Hf.upf
Ti 47.87 Ti.upf
Sn 118.71 Sn.upf
ATOMIC_POSITIONS crystal
Hf 0.0000 0.0000 0.0000
Ti 0.0000 0.5000 0.5000
Ti 0.0828 0.2772 0.8056
Ti 0.3110 0.0000 0.3110
Ti 0.4715 0.2772 0.1944
Ti 0.5285 0.7228 0.8056
Ti 0.6890 0.0000 0.6890
Ti 0.9172 0.7228 0.1944
Sn 0.2730 0.7730 0.5000
Sn 0.5000 0.5000 0.0000
Sn 0.7270 0.2270 0.5000
CELL_PARAMETERS angstrom
-2.4650 4.5419 4.8923
2.4650 -4.5419 4.8923
2.4650 4.5419 -4.8923
! energy of formation from the pure elements: 0.11 eV/atom

no.,electronic total energy (eV/atom)
1,-4.8290
2,-2.8682
3,-6.9136